[1]
First-principles (PBE-GGA) data for a geometry-optimized Ba2TaTl structure, as listed in the Alexandria database.

Cell: 4.0780 4.1202 8.6311 Å, 90.00 90.00 90.00°
Closest atoms and distances in Å follow each position.
Sites, in units of the cell vectors:
Ba  0.0000  0.0000  0.2351  4 Ta 3.54, 4 Tl 3.69
Ba  0.0000  0.0000  0.7649  4 Ta 3.54, 4 Tl 3.69
Ta  0.5000  0.5000  0.0000  8 Ba 3.54
Tl  0.5000  0.5000  0.5000  8 Ba 3.69, 4 Tl 4.08-4.12

Calculated values
Total energy, eV per atom: -3.81
Space group: Pmmm, No. 47
ΔH_f (0 K), eV/atom: 0.708
Calculated volume, Å³ per cell: 145.0
Energy relative to the lowest polymorph listed for this composition, meV per atom: 168.9

[2]
First-principles (PBE-GGA) data for a geometry-optimized NdGePt4 structure, as listed in the Alexandria database.

Cell: 5.4185 5.4185 5.4185 Å, 60.00 60.00 60.00°
Closest atoms and distances in Å follow each position.
Sites, in units of the cell vectors:
Nd  0.0000  0.0000  0.0000  12 Pt 3.18, 4 Ge 3.32
Ge  0.7500  0.7500  0.7500  12 Pt 3.18, 4 Nd 3.32
Pt  0.3754  0.3754  0.3754  6 Pt 2.70-2.72
Pt  0.3754  0.3754  0.8739  6 Pt 2.70-2.72
Pt  0.3754  0.8739  0.3754  6 Pt 2.70-2.72
Pt  0.8739  0.3754  0.3754  6 Pt 2.70-2.72

Calculated values
Total energy, eV per atom: -6.22
Space group: F-43m, No. 216
ΔH_f (0 K), eV/atom: -0.631
Calculated volume, Å³ per cell: 112.5
Energy relative to the lowest polymorph listed for this composition, meV per atom: 95.9

[3]
First-principles (PBE-GGA) data for a geometry-optimized FeRh3Br structure, as listed in the Alexandria database.

Cell: 4.5114 4.5114 4.5114 Å, 90.00 90.00 90.00°
Closest atoms and distances in Å follow each position.
Sites, in units of the cell vectors:
Fe  0.0000  0.0000  0.0000  6 Rh 2.26
Rh  0.0000  0.0000  0.5000  2 Fe 2.26
Rh  0.0000  0.5000  0.0000  2 Fe 2.26
Rh  0.5000  0.0000  0.0000  2 Fe 2.26
Br  0.5000  0.5000  0.5000  12 Rh 3.19

Calculated values
Total energy, eV per atom: -5.24
Space group: Pm-3m, No. 221
Calculated volume, Å³ per cell: 91.8
Energy relative to the lowest polymorph listed for this composition, meV per atom: 0.0

[4]
First-principles (PBE-GGA) data for a geometry-optimized PbBrCl3 structure, as listed in the Alexandria database.

Cell: 7.4000 7.7307 7.8552 Å, 92.21 117.46 117.19°
Closest atoms and distances in Å follow each position.
Sites, in units of the cell vectors:
Pb  0.0000  0.0000  0.0000  6 Cl 2.58-2.68
Pb  0.3407  0.0029  0.6657  4 Cl 2.82-3.05
Br  0.4833  0.8971  0.3346  1 Br 2.37
Br  0.8757  0.1033  0.3975  1 Br 2.37
Cl  0.2856  0.2716  0.3657  1 Pb 2.65, 1 Br 2.84
Cl  0.4039  0.2260  0.0051  2 Pb 2.66-2.84
Cl  0.5275  0.7720  0.8589  2 Pb 2.68-2.82
Cl  0.8791  0.2557  0.8715  1 Pb 2.58
Cl  0.9167  0.7451  0.7112  1 Pb 2.58
Cl  0.9863  0.7309  0.1976  1 Pb 2.64, 1 Br 2.87

Calculated values
Total energy, eV per atom: -2.77
Space group: P1, No. 1
Calculated volume, Å³ per cell: 336.5
Energy relative to the lowest polymorph listed for this composition, meV per atom: 0.0

[5]
First-principles (PBE-GGA) data for a geometry-optimized Pr6As2S3 structure, as listed in the Alexandria database.

Cell: 7.0689 7.0689 7.0484 Å, 90.00 90.00 120.00°
Closest atoms and distances in Å follow each position.
Sites, in units of the cell vectors:
Pr  0.0000  0.3313  0.2491  3 S 2.93-2.94, 2 As 2.95
Pr  0.0000  0.6687  0.7509  3 S 2.93-2.94, 2 As 2.95
Pr  0.3313  0.0000  0.2491  3 S 2.93-2.94, 2 As 2.95
Pr  0.3313  0.3313  0.7509  3 S 2.93-2.94, 2 As 2.95
Pr  0.6687  0.0000  0.7509  3 S 2.93-2.94, 2 As 2.95
Pr  0.6687  0.6687  0.2491  3 S 2.93-2.94, 2 As 2.95
As  0.3333  0.6667  0.5000  6 Pr 2.95
As  0.6667  0.3333  0.5000  6 Pr 2.95
S  0.0000  0.0000  0.5000  6 Pr 2.93
S  0.3333  0.6667  0.0000  6 Pr 2.94
S  0.6667  0.3333  0.0000  6 Pr 2.94

Calculated values
Total energy, eV per atom: -6.16
Space group: P-31m, No. 162
Calculated volume, Å³ per cell: 305.0

[6]
First-principles (PBE-GGA) data for a geometry-optimized Ho6CdTc2 structure, as listed in the Alexandria database.

Cell: 8.4797 8.4797 8.4797 Å, 111.68 111.66 105.15°
Closest atoms and distances in Å follow each position.
Sites, in units of the cell vectors:
Ho  0.0228  0.2347  0.7881  2 Tc 2.85-3.15, 1 Cd 3.15
Ho  0.1896  0.2830  0.4727  3 Tc 2.99-3.19, 1 Cd 3.24
Ho  0.1896  0.7170  0.9066  3 Tc 2.99-3.19, 1 Cd 3.24
Ho  0.3164  0.0223  0.7059  3 Tc 2.85-3.00
Ho  0.3164  0.6104  0.2941  3 Tc 2.85-3.00
Ho  0.4466  0.2347  0.2119  2 Tc 2.85-3.15, 1 Cd 3.15
Ho  0.5534  0.7653  0.7881  2 Tc 2.85-3.15, 1 Cd 3.15
Ho  0.6836  0.3896  0.7059  3 Tc 2.85-3.00
Ho  0.6836  0.9777  0.2941  3 Tc 2.85-3.00
Ho  0.8104  0.2830  0.0934  3 Tc 2.99-3.19, 1 Cd 3.24
Ho  0.8104  0.7170  0.5273  3 Tc 2.99-3.19, 1 Cd 3.24
Ho  0.9772  0.7653  0.2119  2 Tc 2.85-3.15, 1 Cd 3.15
Cd  0.0000  0.0000  0.0000  8 Ho 3.15-3.24, 2 Tc 3.52
Cd  0.5000  0.5000  0.0000  12 Ho 3.38-3.61
Tc  0.1161  0.6161  0.5000  1 Tc 2.39
Tc  0.3696  0.0000  0.3696  1 Tc 2.48
Tc  0.6304  0.0000  0.6304  1 Tc 2.48
Tc  0.8839  0.3839  0.5000  1 Tc 2.39

Calculated values
Total energy, eV per atom: -5.60
Space group: Immm, No. 71
ΔH_f (0 K), eV/atom: -0.140
Calculated volume, Å³ per cell: 467.4

[7]
First-principles (PBE-GGA) data for a geometry-optimized AcYMg structure, as listed in the Alexandria database.

Cell: 5.6722 5.6722 3.6445 Å, 90.00 90.00 120.00°
Closest atoms and distances in Å follow each position.
Sites, in units of the cell vectors:
Ac  0.0000  0.0000  0.0000  6 Mg 3.59-3.93, 2 Ac 3.64, 6 Y 3.67-3.83
Y  0.6667  0.3333  0.4565  3 Mg 3.32, 2 Y 3.64, 3 Ac 3.67
Mg  0.3333  0.6667  0.5983  3 Y 3.32, 3 Ac 3.59, 2 Mg 3.64

Calculated values
Total energy, eV per atom: -3.99
Space group: P3m1, No. 156
ΔH_f (0 K), eV/atom: 0.070
Calculated volume, Å³ per cell: 101.5
Energy relative to the lowest polymorph listed for this composition, meV per atom: 96.4

[8]
First-principles (PBE-GGA) data for a geometry-optimized TbScIrPt structure, as listed in the Alexandria database.

Cell: 4.7762 4.7762 4.7762 Å, 60.00 60.00 60.00°
Closest atoms and distances in Å follow each position.
Sites, in units of the cell vectors:
Tb  0.0000  0.0000  0.0000  4 Ir 2.92, 4 Pt 2.92
Sc  0.5000  0.5000  0.5000  4 Ir 2.92, 4 Pt 2.92
Ir  0.2500  0.2500  0.2500  4 Sc 2.92, 4 Tb 2.92
Pt  0.7500  0.7500  0.7500  4 Sc 2.92, 4 Tb 2.92

Calculated values
Total energy, eV per atom: -7.47
Space group: F-43m, No. 216
ΔH_f (0 K), eV/atom: -1.006
Calculated volume, Å³ per cell: 77.0

[9]
First-principles (PBE-GGA) data for a geometry-optimized SiAgBr2 structure, as listed in the Alexandria database.

Cell: 3.5070 3.5070 8.3429 Å, 90.00 90.00 90.00°
Closest atoms and distances in Å follow each position.
Sites, in units of the cell vectors:
Si  0.0000  0.0000  0.0000  4 Ag 2.88, 5 Br 2.98-3.05
Ag  0.5000  0.5000  0.1744  4 Si 2.88, 4 Br 2.91
Br  0.0000  0.0000  0.3577  4 Ag 2.91, 1 Si 2.98
Br  0.5000  0.5000  0.7872  4 Si 3.05, 1 Ag 3.23

Calculated values
Total energy, eV per atom: -2.70
Space group: P4mm, No. 99
Calculated volume, Å³ per cell: 102.6
Energy relative to the lowest polymorph listed for this composition, meV per atom: 295.4

[10]
First-principles (PBE-GGA) data for a geometry-optimized Na2SiPtO4 structure, as listed in the Alexandria database.

Cell: 5.0553 5.0553 5.0553 Å, 109.87 109.87 108.68°
Closest atoms and distances in Å follow each position.
Sites, in units of the cell vectors:
Na  0.0000  0.0000  0.0000  4 O 2.33
Na  0.7500  0.2500  0.5000  4 O 2.37
Si  0.5000  0.5000  0.0000  4 O 1.67
Pt  0.2500  0.7500  0.5000  4 O 2.09
O  0.1849  0.1478  0.6815  1 Si 1.67
O  0.4664  0.5035  0.3185  1 Si 1.67
O  0.4965  0.8151  0.9629  1 Si 1.67
O  0.8522  0.5336  0.0371  1 Si 1.67

Calculated values
Total energy, eV per atom: -5.92
Space group: I-4, No. 82
Calculated volume, Å³ per cell: 99.4

[11]
First-principles (PBE-GGA) data for a geometry-optimized K3BaSb2O6 structure, as listed in the Alexandria database.

Cell: 6.5721 6.5721 7.3498 Å, 90.00 90.00 120.00°
Closest atoms and distances in Å follow each position.
Sites, in units of the cell vectors:
K  0.0000  0.0000  0.0000  6 O 2.91
K  0.3333  0.6667  0.6402  9 O 3.17-3.34, 1 Sb 3.51
K  0.6667  0.3333  0.3598  9 O 3.17-3.34, 1 Sb 3.51
Ba  0.0000  0.0000  0.5000  6 O 2.62
Sb  0.3333  0.6667  0.1633  3 O 1.94
Sb  0.6667  0.3333  0.8367  3 O 1.94
O  0.1806  0.3612  0.2798  1 Sb 1.94
O  0.1806  0.8194  0.2798  1 Sb 1.94
O  0.3612  0.1806  0.7202  1 Sb 1.94
O  0.6388  0.8194  0.2798  1 Sb 1.94
O  0.8194  0.1806  0.7202  1 Sb 1.94
O  0.8194  0.6388  0.7202  1 Sb 1.94

Calculated values
Total energy, eV per atom: -5.26
Space group: P-3m1, No. 164
Calculated volume, Å³ per cell: 274.9

[12]
First-principles (PBE-GGA) data for a geometry-optimized Pm2ErZn3Pt4 structure, as listed in the Alexandria database.

Cell: 4.1610 4.1610 11.7032 Å, 90.00 90.00 90.00°
Closest atoms and distances in Å follow each position.
Sites, in units of the cell vectors:
Pm  0.0000  0.5000  0.2250  4 Zn 3.16, 8 Pt 3.25-3.36
Pm  0.5000  0.0000  0.7750  4 Zn 3.16, 8 Pt 3.25-3.36
Er  0.0000  0.0000  0.5000  4 Pt 2.78, 4 Zn 2.94
Zn  0.0000  0.5000  0.8732  5 Pt 2.52-2.56
Zn  0.5000  0.0000  0.1268  5 Pt 2.52-2.56
Zn  0.5000  0.5000  0.5000  4 Pt 2.78, 4 Er 2.94
Pt  0.0000  0.0000  0.0000  4 Zn 2.56
Pt  0.0000  0.5000  0.6576  3 Zn 2.52-2.78, 2 Er 2.78
Pt  0.5000  0.0000  0.3424  3 Zn 2.52-2.78, 2 Er 2.78
Pt  0.5000  0.5000  0.0000  4 Zn 2.56

Calculated values
Total energy, eV per atom: -5.05
Space group: P-4m2, No. 115
ΔH_f (0 K), eV/atom: -0.843
Calculated volume, Å³ per cell: 202.6

[13]
First-principles (PBE-GGA) data for a geometry-optimized BeIn2Si structure, as listed in the Alexandria database.

Cell: 3.8816 3.8816 6.7392 Å, 106.42 106.42 59.89°
Closest atoms and distances in Å follow each position.
Sites, in units of the cell vectors:
Be  0.0000  0.0000  0.0000  3 Si 2.24
In  0.2341  0.2341  0.6945  3 Be 2.96-2.97, 3 Si 3.00, 3 In 3.26-3.30
In  0.4386  0.4386  0.3174  3 Si 2.98, 3 Be 3.01-3.03, 3 In 3.26-3.30
Si  0.6698  0.6698  0.0084  3 Be 2.24

Calculated values
Total energy, eV per atom: -3.44
Space group: Cm, No. 8
Calculated volume, Å³ per cell: 83.0
Energy relative to the lowest polymorph listed for this composition, meV per atom: 0.0

[14]
First-principles (PBE-GGA) data for a geometry-optimized Hf2Al3Mo structure, as listed in the Alexandria database.

Cell: 5.3262 5.3262 5.3262 Å, 59.51 59.51 59.51°
Closest atoms and distances in Å follow each position.
Sites, in units of the cell vectors:
Hf  0.1290  0.1290  0.1290  9 Al 3.08-3.14, 3 Mo 3.09, 4 Hf 3.21-3.38
Hf  0.8710  0.8710  0.8710  9 Al 3.08-3.14, 3 Mo 3.09, 4 Hf 3.21-3.38
Al  0.0000  0.5000  0.5000  4 Al 2.64, 2 Mo 2.66
Al  0.5000  0.0000  0.5000  4 Al 2.64, 2 Mo 2.66
Al  0.5000  0.5000  0.0000  4 Al 2.64, 2 Mo 2.66
Mo  0.5000  0.5000  0.5000  6 Al 2.66

Calculated values
Total energy, eV per atom: -7.40
Space group: R-3m, No. 166
ΔH_f (0 K), eV/atom: -0.409
Calculated volume, Å³ per cell: 105.7

[15]
First-principles (PBE-GGA) data for a geometry-optimized LaTbEuAl structure, as listed in the Alexandria database.

Cell: 5.5174 5.5174 5.5174 Å, 60.00 60.00 60.00°
Closest atoms and distances in Å follow each position.
Sites, in units of the cell vectors:
La  0.0000  0.0000  0.0000  4 Al 3.38, 4 Eu 3.38
Tb  0.5000  0.5000  0.5000  4 Eu 3.38, 4 Al 3.38
Eu  0.7500  0.7500  0.7500  4 Tb 3.38, 4 La 3.38
Al  0.2500  0.2500  0.2500  4 Tb 3.38, 4 La 3.38

Calculated values
Total energy, eV per atom: -5.95
Space group: F-43m, No. 216
ΔH_f (0 K), eV/atom: -0.055
Calculated volume, Å³ per cell: 118.8

[16]
First-principles (PBE-GGA) data for a geometry-optimized Pa6Tc5Ru structure, as listed in the Alexandria database.

Cell: 6.3480 6.3480 7.6088 Å, 98.09 98.09 120.05°
Closest atoms and distances in Å follow each position.
Sites, in units of the cell vectors:
Pa  0.0555  0.3992  0.2156  4 Tc 2.62-2.86
Pa  0.2315  0.2315  0.6931  1 Ru 2.54
Pa  0.3992  0.0555  0.2156  4 Tc 2.62-2.86
Pa  0.6008  0.9445  0.7844  4 Tc 2.62-2.86
Pa  0.7685  0.7685  0.3069  1 Ru 2.54
Pa  0.9445  0.6008  0.7844  4 Tc 2.62-2.86
Tc  0.0000  0.0000  0.0000  4 Pa 2.65
Tc  0.2240  0.7760  0.5000  2 Pa 2.62
Tc  0.3700  0.6300  0.0000  6 Pa 2.74-2.86, 1 Tc 2.86
Tc  0.6300  0.3700  0.0000  6 Pa 2.74-2.86, 1 Tc 2.86
Tc  0.7760  0.2240  0.5000  2 Pa 2.62
Ru  0.5000  0.5000  0.5000  2 Pa 2.54

Calculated values
Total energy, eV per atom: -9.99
Space group: C2/m, No. 12
ΔH_f (0 K), eV/atom: -0.151
Calculated volume, Å³ per cell: 254.7
Energy relative to the lowest polymorph listed for this composition, meV per atom: 89.0

[17]
First-principles (PBE-GGA) data for a geometry-optimized SrLa2Te structure, as listed in the Alexandria database.

Cell: 3.9869 3.9869 9.8912 Å, 90.00 90.00 90.00°
Closest atoms and distances in Å follow each position.
Sites, in units of the cell vectors:
Sr  0.0000  0.0000  0.0000  4 Sr 3.99, 8 La 4.21
La  0.5000  0.5000  0.3156  4 Te 3.36, 1 La 3.65
La  0.5000  0.5000  0.6844  4 Te 3.36, 1 La 3.65
Te  0.0000  0.0000  0.5000  8 La 3.36

Calculated values
Total energy, eV per atom: -4.24
Space group: P4/mmm, No. 123
Calculated volume, Å³ per cell: 157.2